(1)
PBE Pm2Cd2Ag3, optimized geometry; formation energy from the elements = -0.224 eV/atom; E above lowest polymorph = 0.10 eV/f.u.; total moment = 0.0000 μB per atom; uncorrected energy = -42.9 eV per cell
1.0
3.9410 0.0000 -0.9396
0.0000 8.2361 0.0000
0.4071 0.0000 10.4424
Cd Pm Ag
4 4 6
Direct
0.3145 0.0544 0.6290
0.6855 0.5544 0.3710
0.6855 0.9456 0.3710
0.3145 0.4456 0.6290
0.8522 0.7500 0.7044
0.9415 0.2500 0.8830
0.0585 0.7500 0.1170
0.1478 0.2500 0.2956
0.4428 0.9229 0.8857
0.5572 0.0771 0.1143
0.2369 0.7500 0.4738
0.4428 0.5771 0.8857
0.7631 0.2500 0.5262
0.5572 0.4229 0.1143

---

(2)
PBE Rb2HgOF6, optimized geometry; uncorrected formation energy = -141 kJ per mole of atoms; total moment = 0.0000 μB per atom; uncorrected energy = -33.0 eV per cell
1.0
5.9634 0.0000 0.0000
0.0000 5.9634 0.0000
2.9817 2.9817 4.9734
F O Rb Hg
6 1 2 1
Direct
0.7137 0.7137 0.0000
0.2863 0.2863 0.0000
0.2086 0.2086 0.5828
0.7914 0.7914 0.4172
0.2863 0.7137 0.0000
0.7137 0.2863 0.0000
0.5000 0.5000 0.0000
0.7500 0.2500 0.5000
0.2500 0.7500 0.5000
0.0000 0.0000 0.0000

---

(3)
PBE Ce2YGe3Ir4, optimized geometry; formation energy from the elements = -0.769 eV/atom; total moment = 0.1241 μB per atom; uncorrected energy = -75.3 eV per cell
1.0
-2.7868 -3.0829 -0.0275
2.4236 -2.1677 -2.5883
5.2341 -4.8112 8.9303
Ir Y Ce Ge
4 1 2 3
Direct
0.0000 0.5000 0.3354
0.5000 0.0000 0.6646
0.0000 0.0000 0.0000
0.5000 0.5000 0.0000
0.5000 0.5000 0.5000
0.0000 0.5000 0.7692
0.5000 0.0000 0.2308
0.5000 0.0000 0.8791
0.0000 0.5000 0.1209
0.0000 0.0000 0.5000

---

(4)
PBE HoMgZn3, optimized geometry; formation energy from the elements = -0.262 eV/atom; total moment = 0.0000 μB per atom; uncorrected energy = -22.6 eV per cell
1.0
-3.7767 -1.9821 -1.2370
0.9815 -2.8730 1.6069
-6.1503 5.5134 9.9430
Zn Ho Mg
6 2 2
Direct
0.2500 0.4755 0.9509
0.2500 0.3752 0.7504
0.2500 0.6759 0.3518
0.7500 0.3241 0.6482
0.7500 0.5245 0.0491
0.7500 0.6248 0.2496
0.2500 0.0753 0.1507
0.7500 0.9247 0.8493
0.7500 0.2139 0.4278
0.2500 0.7861 0.5722

---

Q: Look up the total moment of the second one.
A: 0.0000 μB per atom